Hf3BeCo, relaxed, DFT PBE; formation enthalpy at 0 K = 0.49 eV/atom; calculated total energy = -7.645 eV/atom; excess energy over the best structure of this formula in the dataset = 61.82 kJ/mol of atoms
1.0
4.719 0.000 0.000
0.000 4.719 0.000
0.000 0.000 4.719
Co Hf Be
1 3 1
Direct
0.000 0.000 0.000 Co
0.000 0.500 0.000 Hf
0.000 0.000 0.500 Hf
0.500 0.000 0.000 Hf
0.500 0.500 0.500 Be